[1]
The following is a PBE calculation of a relaxed SrIrOs2 crystal, from Alexandria.

Structure (extended XYZ):
```
4
Lattice="2.7700 0.0000 0.0000 0.0000 3.8254 0.0000 0.0000 0.0000 7.1478" Properties=species:S:1:pos:R:3 pbc="T T T"
Ir 1.3850 1.9127 5.3609
Os 0.0000 0.0000 6.6415
Os 0.0000 0.0000 4.0803
Sr 1.3850 1.9127 1.7870
```

Values from the calculation:
The value obtained for the energy is -7.599 eV/atom. For the density of states at the Fermi level, the calculation gives 1.15 states/eV/atom. The symmetry is Pmmm, No. 47. The total magnetization is 0.000 Bohr magnetons per cell. The energy relative to the lowest polymorph listed for this composition is 212 meV/atom.

[2]
The following is a PBE calculation of a relaxed SrIrOs2 crystal, from Alexandria.

Structure (extended XYZ):
```
4
Lattice="-3.1021 -2.6030 3.2123 0.3400 -5.1238 -0.5905 3.4702 3.7775 0.6369" Properties=species:S:1:pos:R:3 pbc="T T T"
Ir -0.5065 -1.3444 2.5801
Os 0.0000 0.0000 0.0000
Os -1.3811 -3.8634 1.3109
Sr 1.2145 -2.6048 0.6787
```

Values from the calculation:
The value obtained for the energy is -7.179 eV/atom. For the density of states at the Fermi level, the calculation gives 1.26 states/eV/atom. The symmetry is I4/mmm, No. 139. The total magnetization is 0.000 Bohr magnetons per cell. The energy relative to the lowest polymorph listed for this composition is 631 meV/atom.

[3]
The following is a PBE calculation of a relaxed Sr2IrOs crystal, from Alexandria.

Structure (extended XYZ):
```
4
Lattice="-2.7842 3.3935 -0.6010 -1.9992 -1.3383 1.7047 0.6033 1.7769 7.2380" Properties=species:S:1:pos:R:3 pbc="T T T"
Ir -1.7411 1.8064 1.9352
Os -2.4390 2.0257 6.4066
Sr -1.9903 -1.3278 1.7227
Sr -0.7069 0.2088 4.4534
```

Values from the calculation:
The value obtained for the energy is -5.136 eV/atom. For the density of states at the Fermi level, the calculation gives 1.02 states/eV/atom. The symmetry is P2/m, No. 10. The total magnetization is 0.000 Bohr magnetons per cell. The energy relative to the lowest polymorph listed for this composition is 664 meV/atom.

[4]
The following is a PBE calculation of a relaxed SrIrOs2 crystal, from Alexandria.

Structure (extended XYZ):
```
4
Lattice="10.1637 0.0077 0.0045 9.7769 2.7772 0.0045 9.7769 1.3655 2.4184" Properties=species:S:1:pos:R:3 pbc="T T T"
Ir 22.2881 3.1128 1.8206
Os 0.3210 0.0448 0.0262
Os 14.5378 2.0304 1.1875
Sr 7.4294 1.0376 0.6069
```

Values from the calculation:
The value obtained for the energy is -7.404 eV/atom. For the density of states at the Fermi level, the calculation gives 1.24 states/eV/atom. The symmetry is R-3m, No. 166. The total magnetization is 0.000 Bohr magnetons per cell. The energy relative to the lowest polymorph listed for this composition is 406 meV/atom.

Number 1 is which compound? SrIrOs2

What is the formula in the first record? SrIrOs2

The highest energy belongs to which entry? Sr2IrOs

Among the records above, which one has the lowest energy relative to the lowest polymorph listed for this composition? number 1